w | Material: MgB2H8
Method: DFT, PBEsol
State: optimized geometry

a = 8.0982 Å, b = 7.7311 Å, c = 7.4323 Å
α = 64.53°, β = 59.52°, γ = 55.95°
Fractional coordinates of all 22 atoms:
Mg  0.0000  0.0000  0.0000
Mg  0.2500  0.2500  0.2500
B  0.0802  0.1570  0.1433
B  0.1433  0.6194  0.0802
B  0.1570  0.0802  0.6194
B  0.6194  0.1433  0.1570
H  0.0148  0.2604  0.9940
H  0.0545  0.9942  0.2427
H  0.0665  0.5587  0.2744
H  0.1005  0.2744  0.5587
H  0.2427  0.7086  0.0545
H  0.2604  0.0148  0.7308
H  0.2707  0.4796  0.9747
H  0.2744  0.1005  0.0665
H  0.2750  0.9747  0.4796
H  0.4796  0.2707  0.2750
H  0.5587  0.0665  0.1005
H  0.7086  0.2427  0.9942
H  0.7308  0.9940  0.2604
H  0.9747  0.2750  0.2707
H  0.9942  0.0545  0.7086
H  0.9940  0.7308  0.0148

Results
Size of the total moment: 0.00 μB per atom
Symmetry: F222, No. 22

---

x | Material: MgB2H8
Method: DFT, PBEsol
State: optimized geometry

a = 4.1970 Å, b = 4.1970 Å, c = 5.5081 Å
α = 90.00°, β = 90.00°, γ = 120.00°
Fractional coordinates of all 11 atoms:
Mg  0.0000  0.0000  0.0000
B  0.3333  0.6667  0.1992
B  0.6667  0.3333  0.8008
H  0.1772  0.3544  0.2857
H  0.1772  0.8228  0.2857
H  0.3333  0.6667  0.9768
H  0.3544  0.1772  0.7143
H  0.6456  0.8228  0.2857
H  0.6667  0.3333  0.0232
H  0.8228  0.1772  0.7143
H  0.8228  0.6456  0.7143

Results
Size of the total moment: 0.00 μB per atom
Symmetry: P-3m1, No. 164

---

Tell me which of them is the most stable. Sure, it is w.

---

w | Material: MgB2H8
Method: DFT, PBEsol
State: optimized geometry

a = 4.2434 Å, b = 5.7022 Å, c = 8.2751 Å
α = 90.00°, β = 90.00°, γ = 90.00°
Fractional coordinates of all 22 atoms:
Mg  0.0000  0.2102  0.0000
Mg  0.0000  0.7898  0.5000
B  0.0000  0.0203  0.7433
B  0.0000  0.9797  0.2433
B  0.5000  0.4225  0.9740
B  0.5000  0.5775  0.4740
H  0.0000  0.0899  0.3719
H  0.0000  0.2355  0.7535
H  0.0000  0.7645  0.2535
H  0.0000  0.9101  0.8719
H  0.2463  0.0316  0.1742
H  0.2463  0.9684  0.6742
H  0.2763  0.4760  0.0622
H  0.2763  0.5240  0.5622
H  0.5000  0.2089  0.9431
H  0.5000  0.4666  0.3493
H  0.5000  0.5334  0.8493
H  0.5000  0.7911  0.4431
H  0.7237  0.4760  0.0622
H  0.7237  0.5240  0.5622
H  0.7537  0.0316  0.1742
H  0.7537  0.9684  0.6742

Results
Size of the total moment: 0.00 μB per atom
Symmetry: Pmc2_1, No. 26

---

x | Material: MgB2H8
Method: DFT, PBEsol
State: optimized geometry

a = 7.5411 Å, b = 7.5411 Å, c = 7.5411 Å
α = 114.61°, β = 114.61°, γ = 99.61°
Fractional coordinates of all 22 atoms:
Mg  0.0000  0.0000  0.0000
Mg  0.7500  0.2500  0.5000
B  0.3674  0.0975  0.2699
B  0.8277  0.0975  0.7301
B  0.9025  0.1723  0.2699
B  0.9025  0.6326  0.7301
H  0.0038  0.2194  0.4713
H  0.0038  0.5325  0.7844
H  0.0243  0.1682  0.8560
H  0.0275  0.2774  0.2500
H  0.0275  0.7775  0.7500
H  0.2225  0.9725  0.2500
H  0.3122  0.1682  0.1440
H  0.4675  0.2519  0.4713
H  0.4675  0.9962  0.2156
H  0.7226  0.9725  0.7500
H  0.7481  0.2194  0.2156
H  0.7481  0.5325  0.5287
H  0.7806  0.2519  0.7844
H  0.7806  0.9962  0.5287
H  0.8318  0.6878  0.8560
H  0.8318  0.9757  0.1440

Results
Size of the total moment: 0.00 μB per atom
Symmetry: I-4m2, No. 119

---

Tell me which of them is the most stable. Sure, it is x.